Entry 1:
Sm2Dy6Th after structural relaxation, computed with GGA-PBE.

Unit cell a=3.5767 b=3.5767 c=26.4279 alpha=90.00 beta=90.00 gamma=120.00
Positions (direct):
1 Sm 0.0000 0.0000 0.1709
2 Sm 0.0000 0.0000 0.8291
3 Dy 0.0000 0.0000 0.3902
4 Dy 0.0000 0.0000 0.6098
5 Dy 0.6667 0.3333 0.0637
6 Dy 0.6667 0.3333 0.2830
7 Dy 0.6667 0.3333 0.7170
8 Dy 0.6667 0.3333 0.9363
9 Th 0.6667 0.3333 0.5000

The space group is P-6m2, No. 187. As for the energy relative to the elements: 0.0667 eV/atom.

---

Entry 2:
SmDyTh after structural relaxation, computed with GGA-PBE.

Unit cell a=6.8656 b=7.1865 c=9.2804 alpha=112.77 beta=97.22 gamma=105.14
Positions (direct):
1 Sm 0.0504 0.4128 0.3010
2 Sm 0.3982 0.9234 0.6476
3 Sm 0.6018 0.0766 0.3524
4 Sm 0.9496 0.5872 0.6990
5 Dy 0.0487 0.9127 0.3017
6 Dy 0.3960 0.4216 0.6468
7 Dy 0.6040 0.5784 0.3532
8 Dy 0.9513 0.0873 0.6983
9 Th 0.2800 0.0857 0.0303
10 Th 0.2805 0.5844 0.0294
11 Th 0.7195 0.4156 0.9706
12 Th 0.7200 0.9143 0.9697

The space group is P-1, No. 2. The energy relative to the lowest polymorph listed for this composition comes out at 21 meV per atom. As for the energy relative to the elements: 0.0433 eV/atom.

---

Entry 3:
Sm2Dy2Th after structural relaxation, computed with GGA-PBE.

Unit cell a=6.4791 b=6.4791 c=9.0626 alpha=107.48 beta=107.48 gamma=98.69
Positions (direct):
1 Sm 0.1382 0.7827 0.8000
2 Sm 0.2173 0.8618 0.2000
3 Sm 0.7827 0.1382 0.8000
4 Sm 0.8618 0.2173 0.2000
5 Dy 0.2179 0.2179 0.6243
6 Dy 0.3448 0.3448 0.0926
7 Dy 0.6552 0.6552 0.9074
8 Dy 0.7821 0.7821 0.3757
9 Th 0.3320 0.6680 0.5000
10 Th 0.6680 0.3320 0.5000

The space group is C2/m, No. 12. The energy relative to the lowest polymorph listed for this composition comes out at 90 meV per atom. As for the energy relative to the elements: 0.1454 eV/atom.

---

Entry 4:
Sm7DyTh2 after structural relaxation, computed with GGA-PBE.

Unit cell a=9.4465 b=9.4465 c=5.5967 alpha=90.00 beta=90.00 gamma=124.46
Positions (direct):
1 Sm 0.0000 0.0000 0.0000
2 Sm 0.2113 0.4339 0.0000
3 Sm 0.2846 0.7154 0.5000
4 Sm 0.4339 0.2113 0.0000
5 Sm 0.5661 0.7887 0.0000
6 Sm 0.7154 0.2846 0.5000
7 Sm 0.7887 0.5661 0.0000
8 Dy 0.5000 0.5000 0.5000
9 Th 0.2047 0.7953 0.0000
10 Th 0.7953 0.2047 0.0000

The space group is Cmmm, No. 65. As for the energy relative to the elements: 0.7335 eV/atom.

---

Entry 5:
Sm2Dy8Th after structural relaxation, computed with GGA-PBE.

Unit cell a=9.4250 b=9.4250 c=7.9639 alpha=104.61 beta=104.61 gamma=31.03
Positions (direct):
1 Sm 0.2281 0.2281 0.1362
2 Sm 0.7719 0.7719 0.8638
3 Dy 0.0443 0.0443 0.2321
4 Dy 0.1347 0.1347 0.6780
5 Dy 0.3201 0.3201 0.5927
6 Dy 0.4103 0.4103 0.0483
7 Dy 0.5897 0.5897 0.9517
8 Dy 0.6799 0.6799 0.4073
9 Dy 0.8653 0.8653 0.3220
10 Dy 0.9557 0.9557 0.7679
11 Th 0.5000 0.5000 0.5000

The space group is C2/m, No. 12. The energy relative to the lowest polymorph listed for this composition comes out at 0 meV per atom. As for the energy relative to the elements: 0.0257 eV/atom.

---

Entry 6:
SmDy6Th2 after structural relaxation, computed with GGA-PBE.

Unit cell a=3.5693 b=3.5693 c=26.3796 alpha=90.00 beta=90.00 gamma=120.00
Positions (direct):
1 Sm 0.0000 0.0000 0.0000
2 Dy 0.0000 0.0000 0.2182
3 Dy 0.0000 0.0000 0.4369
4 Dy 0.0000 0.0000 0.5631
5 Dy 0.0000 0.0000 0.7818
6 Dy 0.3333 0.6667 0.1108
7 Dy 0.3333 0.6667 0.8892
8 Th 0.3333 0.6667 0.3298
9 Th 0.3333 0.6667 0.6702

The space group is P-6m2, No. 187. The energy relative to the lowest polymorph listed for this composition comes out at 19 meV per atom. As for the energy relative to the elements: 0.0744 eV/atom.

---

Entry 7:
Sm2DyTh after structural relaxation, computed with GGA-PBE.

Unit cell a=11.8611 b=11.8611 c=6.2250 alpha=94.92 beta=94.92 gamma=17.49
Positions (direct):
1 Sm 0.1222 0.1222 0.3741
2 Sm 0.2490 0.2490 0.7512
3 Sm 0.7510 0.7510 0.2488
4 Sm 0.8778 0.8778 0.6259
5 Dy 0.3783 0.3783 0.1253
6 Dy 0.6217 0.6217 0.8747
7 Th 0.0000 0.0000 0.0000
8 Th 0.5000 0.5000 0.5000

The space group is C2/m, No. 12. The energy relative to the lowest polymorph listed for this composition comes out at 4 meV per atom. As for the energy relative to the elements: 0.0241 eV/atom.

---

Entry 8:
Sm2Dy6Th3 after structural relaxation, computed with GGA-PBE.

Unit cell a=6.1827 b=6.1827 c=11.3111 alpha=90.04 beta=90.04 gamma=120.01
Positions (direct):
1 Sm 0.1666 0.8334 0.0000
2 Sm 0.8334 0.1666 0.0000
3 Dy 0.1691 0.1691 0.2543
4 Dy 0.1703 0.5004 0.7458
5 Dy 0.5004 0.1703 0.7458
6 Dy 0.4996 0.8297 0.2542
7 Dy 0.8297 0.4996 0.2542
8 Dy 0.8309 0.8309 0.7457
9 Th 0.1666 0.8334 0.5000
10 Th 0.5000 0.5000 0.5000
11 Th 0.8334 0.1666 0.5000

The space group is C2/m, No. 12. As for the energy relative to the elements: 0.1586 eV/atom.

---

Entry 9:
Sm6Dy4Th after structural relaxation, computed with GGA-PBE.

Unit cell a=5.6460 b=5.6460 c=25.7643 alpha=90.00 beta=90.00 gamma=117.65
Positions (direct):
1 Sm 0.0000 0.0000 0.0000
2 Sm 0.0000 0.0000 0.5000
3 Sm 0.0544 0.9456 0.7500
4 Sm 0.2947 0.7053 0.1011
5 Sm 0.2947 0.7053 0.3989
6 Sm 0.3832 0.6168 0.6817
7 Sm 0.3832 0.6168 0.8183
8 Sm 0.6168 0.3832 0.1817
9 Sm 0.6168 0.3832 0.3183
10 Sm 0.7053 0.2947 0.6011
11 Sm 0.7053 0.2947 0.8989
12 Sm 0.9456 0.0544 0.2500
13 Dy 0.0510 0.9490 0.6228
14 Dy 0.0510 0.9490 0.8772
15 Dy 0.3506 0.6494 0.5423
16 Dy 0.3506 0.6494 0.9577
17 Dy 0.6494 0.3506 0.0423
18 Dy 0.6494 0.3506 0.4577
19 Dy 0.9490 0.0510 0.1228
20 Dy 0.9490 0.0510 0.3772
21 Th 0.2854 0.7146 0.2500
22 Th 0.7146 0.2854 0.7500

The space group is Cmcm, No. 63. As for the energy relative to the elements: 0.1457 eV/atom.

---

Entry 10:
SmDy6Th5 after structural relaxation, computed with GGA-PBE.

Unit cell a=9.4342 b=9.4342 c=9.4342 alpha=149.02 beta=115.52 gamma=73.25
Positions (direct):
1 Sm 0.0000 0.0000 0.0000
2 Dy 0.0842 0.8319 0.2523
3 Dy 0.2549 0.5000 0.7549
4 Dy 0.4204 0.1681 0.2523
5 Dy 0.5796 0.8319 0.7477
6 Dy 0.7451 0.5000 0.2451
7 Dy 0.9158 0.1681 0.7477
8 Th 0.1677 0.6677 0.5000
9 Th 0.3326 0.3326 0.0000
10 Th 0.5000 0.0000 0.5000
11 Th 0.6674 0.6674 0.0000
12 Th 0.8323 0.3323 0.5000

The space group is Immm, No. 71. As for the energy relative to the elements: 0.0427 eV/atom.

---

Entry 11:
Sm2Dy9Th after structural relaxation, computed with GGA-PBE.

Unit cell a=5.0328 b=5.0328 c=15.0905 alpha=90.00 beta=90.00 gamma=90.00
Positions (direct):
1 Sm 0.0000 0.0000 0.1676
2 Sm 0.0000 0.0000 0.8324
3 Dy 0.0000 0.5000 0.0000
4 Dy 0.0000 0.5000 0.3361
5 Dy 0.0000 0.5000 0.6639
6 Dy 0.5000 0.0000 0.0000
7 Dy 0.5000 0.0000 0.3361
8 Dy 0.5000 0.0000 0.6639
9 Dy 0.5000 0.5000 0.1661
10 Dy 0.5000 0.5000 0.5000
11 Dy 0.5000 0.5000 0.8339
12 Th 0.0000 0.0000 0.5000

The space group is P4/mmm, No. 123. As for the energy relative to the elements: 0.0243 eV/atom.

---

Entry 12:
Sm2DyTh after structural relaxation, computed with GGA-PBE.

Unit cell a=5.0719 b=5.0719 c=5.0871 alpha=90.00 beta=90.00 gamma=90.00
Positions (direct):
1 Sm 0.0000 0.5000 0.0000
2 Sm 0.5000 0.0000 0.0000
3 Dy 0.0000 0.0000 0.5000
4 Th 0.5000 0.5000 0.5000

The space group is P4/mmm, No. 123. The energy relative to the lowest polymorph listed for this composition comes out at 28 meV per atom. As for the energy relative to the elements: 0.0478 eV/atom.

---

Entry 13:
Sm3Dy8Th3 after structural relaxation, computed with GGA-PBE.

Unit cell a=9.6530 b=9.6530 c=9.6530 alpha=145.89 beta=112.53 gamma=77.81
Positions (direct):
1 Sm 0.0000 0.0000 0.0000
2 Sm 0.3081 0.0000 0.3081
3 Sm 0.6919 0.0000 0.6919
4 Dy 0.0564 0.3964 0.6599
5 Dy 0.0664 0.2244 0.8420
6 Dy 0.2635 0.6036 0.6599
7 Dy 0.3824 0.2244 0.1580
8 Dy 0.6176 0.7756 0.8420
9 Dy 0.7365 0.3964 0.3401
10 Dy 0.9336 0.7756 0.1580
11 Dy 0.9436 0.6036 0.3401
12 Th 0.3147 0.8147 0.5000
13 Th 0.5000 0.5000 0.0000
14 Th 0.6853 0.1853 0.5000

The space group is Immm, No. 71. As for the energy relative to the elements: 0.1581 eV/atom.

---

Entry 14:
Sm7Dy3Th after structural relaxation, computed with GGA-PBE.

Unit cell a=10.0818 b=10.0818 c=8.2675 alpha=90.00 beta=90.00 gamma=64.47
Positions (direct):
1 Sm 0.1024 0.6097 0.0598
2 Sm 0.1024 0.6097 0.4402
3 Sm 0.2491 0.7509 0.7500
4 Sm 0.2830 0.3809 0.7500
5 Sm 0.3809 0.2830 0.2500
6 Sm 0.3903 0.8976 0.0598
7 Sm 0.3903 0.8976 0.4402
8 Sm 0.6097 0.1024 0.5598
9 Sm 0.6097 0.1024 0.9402
10 Sm 0.6191 0.7170 0.7500
11 Sm 0.7170 0.6191 0.2500
12 Sm 0.7509 0.2491 0.2500
13 Sm 0.8976 0.3903 0.5598
14 Sm 0.8976 0.3903 0.9402
15 Dy 0.1092 0.2157 0.2500
16 Dy 0.2157 0.1092 0.7500
17 Dy 0.5000 0.5000 0.0000
18 Dy 0.5000 0.5000 0.5000
19 Dy 0.7843 0.8908 0.2500
20 Dy 0.8908 0.7843 0.7500
21 Th 0.0000 0.0000 0.0000
22 Th 0.0000 0.0000 0.5000

The space group is Cmcm, No. 63. The energy relative to the lowest polymorph listed for this composition comes out at 103 meV per atom. As for the energy relative to the elements: 0.2932 eV/atom.

---

Entry 15:
SmDy5Th2 after structural relaxation, computed with GGA-PBE.

Unit cell a=8.8435 b=8.8435 c=8.8435 alpha=157.02 beta=101.46 gamma=83.15
Positions (direct):
1 Sm 0.0000 0.0000 0.0000
2 Dy 0.1385 0.3689 0.7696
3 Dy 0.4007 0.6311 0.7696
4 Dy 0.5000 0.0000 0.5000
5 Dy 0.5993 0.3689 0.2304
6 Dy 0.8615 0.6311 0.2304
7 Th 0.2393 0.7393 0.5000
8 Th 0.7607 0.2607 0.5000

The space group is Immm, No. 71. As for the energy relative to the elements: 0.0982 eV/atom.

---

Entry 16:
SmDy2Th2 after structural relaxation, computed with GGA-PBE.

Unit cell a=14.6735 b=14.6735 c=14.6735 alpha=14.02 beta=14.02 gamma=14.02
Positions (direct):
1 Sm 0.0000 0.0000 0.0000
2 Dy 0.4012 0.4012 0.4012
3 Dy 0.5988 0.5988 0.5988
4 Th 0.1992 0.1992 0.1992
5 Th 0.8008 0.8008 0.8008

The space group is R-3m, No. 166. The energy relative to the lowest polymorph listed for this composition comes out at 0 meV per atom. As for the energy relative to the elements: 0.0161 eV/atom.

---

Entry 17:
Sm4Dy5Th after structural relaxation, computed with GGA-PBE.

Unit cell a=8.0301 b=8.0301 c=8.0301 alpha=98.50 beta=98.50 gamma=134.78
Positions (direct):
1 Sm 0.0000 0.3196 0.3196
2 Sm 0.0000 0.6804 0.6804
3 Sm 0.3196 0.0000 0.3196
4 Sm 0.6804 0.0000 0.6804
5 Dy 0.3070 0.3070 0.6242
6 Dy 0.3070 0.6828 0.0000
7 Dy 0.6828 0.3070 0.0000
8 Dy 0.6828 0.6828 0.3758
9 Dy 0.7499 0.7499 0.0000
10 Th 0.2195 0.2195 0.0000

The space group is I4mm, No. 107. The energy relative to the lowest polymorph listed for this composition comes out at 261 meV per atom. As for the energy relative to the elements: 0.2810 eV/atom.

---

Entry 18:
SmDy8Th6 after structural relaxation, computed with GGA-PBE.

Unit cell a=8.7526 b=8.7526 c=8.7526 alpha=60.77 beta=60.77 gamma=60.77
Positions (direct):
1 Sm 0.0000 0.0000 0.0000
2 Dy 0.1208 0.8044 0.6732
3 Dy 0.1956 0.3268 0.8792
4 Dy 0.3268 0.8792 0.1956
5 Dy 0.4199 0.4199 0.4199
6 Dy 0.5801 0.5801 0.5801
7 Dy 0.6732 0.1208 0.8044
8 Dy 0.8044 0.6732 0.1208
9 Dy 0.8792 0.1956 0.3268
10 Th 0.0727 0.2663 0.5348
11 Th 0.2663 0.5348 0.0727
12 Th 0.4652 0.9273 0.7337
13 Th 0.5348 0.0727 0.2663
14 Th 0.7337 0.4652 0.9273
15 Th 0.9273 0.7337 0.4652

The space group is R-3, No. 148. As for the energy relative to the elements: 0.1593 eV/atom.

---

Entry 19:
SmDyTh3 after structural relaxation, computed with GGA-PBE.

Unit cell a=8.2979 b=8.2979 c=8.2979 alpha=106.13 beta=89.09 gamma=137.57
Positions (direct):
1 Sm 0.5000 0.0000 0.0000
2 Sm 0.5000 0.5000 0.5000
3 Dy 0.0555 0.3055 0.7500
4 Dy 0.9445 0.6945 0.2500
5 Th 0.0000 0.0000 0.0000
6 Th 0.0000 0.3310 0.3310
7 Th 0.0000 0.6690 0.6690
8 Th 0.5000 0.0000 0.5000
9 Th 0.5000 0.3310 0.8310
10 Th 0.5000 0.6690 0.1690

The space group is Imma, No. 74. As for the energy relative to the elements: 0.3809 eV/atom.

---

Entry 20:
Sm3Dy8Th4 after structural relaxation, computed with GGA-PBE.

Unit cell a=9.2799 b=9.2799 c=6.7441 alpha=111.08 beta=111.08 gamma=88.31
Positions (direct):
1 Sm 0.0000 0.0000 0.0000
2 Sm 0.0000 0.5000 0.0000
3 Sm 0.5000 0.0000 0.0000
4 Dy 0.1441 0.8559 0.5000
5 Dy 0.2380 0.2380 0.5026
6 Dy 0.2411 0.2411 0.9862
7 Dy 0.2445 0.7555 0.0000
8 Dy 0.7555 0.2445 0.0000
9 Dy 0.7589 0.7589 0.0138
10 Dy 0.7620 0.7620 0.4974
11 Dy 0.8559 0.1441 0.5000
12 Th 0.0000 0.5000 0.5000
13 Th 0.5000 0.0000 0.5000
14 Th 0.5000 0.5000 0.0000
15 Th 0.5000 0.5000 0.5000

The space group is C2/m, No. 12. As for the energy relative to the elements: 0.4215 eV/atom.

---

Entry 21:
Sm4DyTh after structural relaxation, computed with GGA-PBE.

Unit cell a=8.3383 b=8.3383 c=3.4403 alpha=90.00 beta=90.00 gamma=91.25
Positions (direct):
1 Sm 0.2331 0.7669 0.0000
2 Sm 0.2628 0.2628 0.5000
3 Sm 0.7372 0.7372 0.5000
4 Sm 0.7669 0.2331 0.0000
5 Dy 0.0000 0.0000 0.5000
6 Th 0.5000 0.5000 0.0000

The space group is Cmmm, No. 65. The energy relative to the lowest polymorph listed for this composition comes out at 619 meV per atom. As for the energy relative to the elements: 0.6598 eV/atom.